Entry 1:
Below is ScRu2Au after structural relaxation, with properties calculated at the GGA-PBE level.

Output
DFT total energy	-7.018	eV/atom
symmetry	Immm
crystal system	orthorhombic
energy of formation	0.02	eV/atom
ΔE to the lowest computed polymorph	0.2198	eV per atom

a b c (Å): 5.372 5.372 5.372
angles (deg): 146.21 129.65 62.02
Positions (direct):
Sc: 0.250 0.750 0.500
Ru: 0.487 0.487 0.000
Ru: 0.013 0.013 0.000
Au: 0.750 0.250 0.500

=====

Entry 2:
Below is Sc8Ru2Au after structural relaxation, with properties calculated at the GGA-PBE level.

Output
DFT total energy	-7.025	eV/atom
symmetry	Imm2
crystal system	orthorhombic
energy of formation	-0.44	eV/atom

a b c (Å): 4.815 6.461 8.351
angles (deg): 112.76 106.76 90.00
Positions (direct):
Sc: 0.748 0.941 0.133
Sc: 0.345 0.855 0.326
Sc: 0.928 0.438 0.492
Sc: 0.636 0.262 0.909
Au: 0.136 0.969 0.909
Ru: 0.806 0.620 0.249
Sc: 0.136 0.552 0.909
Sc: 0.298 0.344 0.233
Sc: 0.974 0.020 0.585
Ru: 0.467 0.281 0.570
Sc: 0.525 0.718 0.685

=====

Entry 3:
Below is ScRuAu after structural relaxation, with properties calculated at the GGA-PBE level.

Output
DFT total energy	-6.469	eV/atom
symmetry	P-6m2
crystal system	hexagonal
energy of formation	-0.17	eV/atom
ΔE to the lowest computed polymorph	0.1534	eV per atom

a b c (Å): 4.450 4.450 3.023
angles (deg): 90.00 90.00 120.00
Positions (direct):
Au: 0.000 0.000 0.000
Ru: 0.667 0.333 0.500
Sc: 0.333 0.667 0.500

=====

| no. | magnetization (μB per atom) |
| --- | --- |
| 1 | 0.199 |
| 2 | 0.000 |
| 3 | 0.000 |